Version A
{"formula": "HfPdSCl2", "functional": "PBE", "state": "relaxed", "cell": [[4.955, 0.000, 0.000], [0.000, 4.955, 0.000], [0.000, 0.000, 4.894]], "species": ["Hf", "Pd", "S", "Cl", "Cl"], "frac_coords": [[0.000, 0.000, 0.000], [0.500, 0.500, 0.500], [0.000, 0.000, 0.500], [0.000, 0.500, 0.000], [0.500, 0.000, 0.000]], "total_magnetization_mub_per_atom": 0.052}


Version B
{"formula": "HfPdSCl2", "functional": "PBE", "state": "relaxed", "cell": [[4.684, 0.000, 0.000], [0.000, 4.684, 0.000], [0.000, 0.000, 4.897]], "species": ["Hf", "Pd", "S", "Cl", "Cl"], "frac_coords": [[0.000, 0.000, 0.000], [0.500, 0.500, 0.500], [0.500, 0.500, 0.000], [0.000, 0.500, 0.500], [0.500, 0.000, 0.500]], "total_magnetization_mub_per_atom": 0.285}


Which structure is the most stable? The one labeled version A.


Version A
{"formula": "HfPdS2Cl", "functional": "PBE", "state": "relaxed", "cell": [[4.929, 0.000, 0.000], [0.000, 4.929, 0.000], [0.000, 0.000, 4.917]], "species": ["Hf", "Pd", "S", "S", "Cl"], "frac_coords": [[0.000, 0.000, 0.000], [0.500, 0.500, 0.500], [0.000, 0.500, 0.000], [0.500, 0.000, 0.000], [0.000, 0.000, 0.500]], "total_magnetization_mub_per_atom": 0.144}


Version B
{"formula": "HfPdS2Cl", "functional": "PBE", "state": "relaxed", "cell": [[4.716, 0.000, 0.000], [0.000, 4.716, 0.000], [0.000, 0.000, 4.570]], "species": ["Hf", "Pd", "S", "S", "Cl"], "frac_coords": [[0.000, 0.000, 0.000], [0.500, 0.500, 0.500], [0.000, 0.500, 0.500], [0.500, 0.000, 0.500], [0.500, 0.500, 0.000]], "total_magnetization_mub_per_atom": 0.149}


Which structure is the most stable? The one labeled version A.


Version A
{"formula": "Hf2PtCl", "functional": "PBE", "state": "relaxed", "cell": [[-2.561, 2.561, 7.226], [2.561, -2.561, 7.226], [2.561, 2.561, -7.226]], "species": ["Hf", "Hf", "Hf", "Hf", "Pt", "Pt", "Cl", "Cl"], "frac_coords": [[0.112, 0.625, 0.987], [0.375, 0.362, 0.487], [0.638, 0.125, 0.013], [0.875, 0.888, 0.513], [0.250, 0.750, 0.500], [0.500, 0.500, 0.000], [0.000, 0.000, 0.000], [0.750, 0.250, 0.500]], "total_magnetization_mub_per_atom": 0.000}


Version B
{"formula": "Hf2PtCl", "functional": "PBE", "state": "relaxed", "cell": [[0.000, 3.338, 3.338], [3.338, 0.000, 3.338], [3.338, 3.338, 0.000]], "species": ["Hf", "Hf", "Pt", "Cl"], "frac_coords": [[0.250, 0.250, 0.250], [0.750, 0.750, 0.750], [0.000, 0.000, 0.000], [0.500, 0.500, 0.500]], "total_magnetization_mub_per_atom": 0.000}


Which structure is the most stable? The one labeled version B.


Version A
{"formula": "HfPt3Cl", "functional": "PBE", "state": "relaxed", "cell": [[4.992, 0.000, 0.000], [0.000, 4.992, 0.000], [0.000, 0.000, 4.992]], "species": ["Hf", "Pt", "Pt", "Pt", "Cl"], "frac_coords": [[0.000, 0.000, 0.000], [0.000, 0.000, 0.500], [0.000, 0.500, 0.000], [0.500, 0.000, 0.000], [0.500, 0.500, 0.500]], "total_magnetization_mub_per_atom": 0.000}


Version B
{"formula": "HfPt3Cl", "functional": "PBE", "state": "relaxed", "cell": [[4.567, 0.000, 0.000], [0.000, 4.567, 0.000], [0.000, 0.000, 4.567]], "species": ["Hf", "Pt", "Pt", "Pt", "Cl"], "frac_coords": [[0.000, 0.000, 0.000], [0.000, 0.500, 0.500], [0.500, 0.000, 0.500], [0.500, 0.500, 0.000], [0.500, 0.500, 0.500]], "total_magnetization_mub_per_atom": 0.000}


Which structure is the most stable? The one labeled version B.


Version A
{"formula": "HfPtSCl2", "functional": "PBE", "state": "relaxed", "cell": [[4.885, 0.000, 0.000], [0.000, 4.885, 0.000], [0.000, 0.000, 4.952]], "species": ["Hf", "Pt", "S", "Cl", "Cl"], "frac_coords": [[0.000, 0.000, 0.000], [0.500, 0.500, 0.500], [0.000, 0.000, 0.500], [0.000, 0.500, 0.000], [0.500, 0.000, 0.000]], "total_magnetization_mub_per_atom": 0.092}


Version B
{"formula": "HfPtSCl2", "functional": "PBE", "state": "relaxed", "cell": [[4.746, 0.000, 0.000], [0.000, 4.746, 0.000], [0.000, 0.000, 4.850]], "species": ["Hf", "Pt", "S", "Cl", "Cl"], "frac_coords": [[0.000, 0.000, 0.000], [0.500, 0.500, 0.500], [0.500, 0.500, 0.000], [0.000, 0.500, 0.500], [0.500, 0.000, 0.500]], "total_magnetization_mub_per_atom": 0.290}


Which structure is the most stable? The one labeled version A.


Version A
{"formula": "HfPtS2Cl", "functional": "PBE", "state": "relaxed", "cell": [[4.943, 0.000, 0.000], [0.000, 4.943, 0.000], [0.000, 0.000, 4.815]], "species": ["Hf", "Pt", "S", "S", "Cl"], "frac_coords": [[0.000, 0.000, 0.000], [0.500, 0.500, 0.500], [0.000, 0.500, 0.000], [0.500, 0.000, 0.000], [0.000, 0.000, 0.500]], "total_magnetization_mub_per_atom": 0.179}


Version B
{"formula": "HfPtS2Cl", "functional": "PBE", "state": "relaxed", "cell": [[4.717, 0.000, 0.000], [0.000, 4.717, 0.000], [0.000, 0.000, 4.637]], "species": ["Hf", "Pt", "S", "S", "Cl"], "frac_coords": [[0.000, 0.000, 0.000], [0.500, 0.500, 0.500], [0.000, 0.500, 0.500], [0.500, 0.000, 0.500], [0.500, 0.500, 0.000]], "total_magnetization_mub_per_atom": 0.000}


Which structure is the most stable? The one labeled version A.


Version A
{"formula": "RbHf2Cl8", "functional": "PBE", "state": "relaxed", "cell": [[9.478, 0.000, 0.000], [-4.739, 8.208, 0.000], [0.000, 0.000, 5.020]], "species": ["Rb", "Hf", "Hf", "Cl", "Cl", "Cl", "Cl", "Cl", "Cl", "Cl", "Cl"], "frac_coords": [[0.000, 0.000, 0.000], [0.333, 0.667, 0.268], [0.667, 0.333, 0.732], [0.187, 0.378, 0.271], [0.191, 0.813, 0.271], [0.333, 0.667, 0.769], [0.378, 0.191, 0.729], [0.622, 0.809, 0.271], [0.667, 0.333, 0.231], [0.809, 0.187, 0.729], [0.813, 0.622, 0.729]], "total_magnetization_mub_per_atom": 0.094}


Version B
{"formula": "RbHf2Cl8", "functional": "PBE", "state": "relaxed", "cell": [[6.228, -3.591, 0.000], [6.228, 3.591, 0.000], [-2.569, 0.000, 7.986]], "species": ["Rb", "Hf", "Hf", "Cl", "Cl", "Cl", "Cl", "Cl", "Cl", "Cl", "Cl"], "frac_coords": [[0.000, 0.000, 0.000], [0.249, 0.249, 0.503], [0.751, 0.751, 0.497], [0.152, 0.645, 0.616], [0.198, 0.198, 0.757], [0.284, 0.284, 0.237], [0.355, 0.848, 0.384], [0.645, 0.152, 0.616], [0.716, 0.716, 0.763], [0.802, 0.802, 0.243], [0.848, 0.355, 0.384]], "total_magnetization_mub_per_atom": 0.000}


Which structure is the most stable? The one labeled version B.


Version A
{"formula": "Rb2HfCl", "functional": "PBE", "state": "relaxed", "cell": [[-6.491, 6.491, 2.472], [6.491, -6.491, 2.472], [6.491, 6.491, -2.472]], "species": ["Rb", "Rb", "Rb", "Rb", "Hf", "Hf", "Cl", "Cl"], "frac_coords": [[0.375, 0.217, 0.342], [0.783, 0.125, 0.158], [0.875, 0.033, 0.658], [0.967, 0.625, 0.842], [0.250, 0.750, 0.500], [0.500, 0.500, 0.000], [0.000, 0.000, 0.000], [0.750, 0.250, 0.500]], "total_magnetization_mub_per_atom": 0.660}


Version B
{"formula": "Rb2HfCl", "functional": "PBE", "state": "relaxed", "cell": [[0.000, 4.518, 4.518], [4.518, 0.000, 4.518], [4.518, 4.518, 0.000]], "species": ["Rb", "Rb", "Hf", "Cl"], "frac_coords": [[0.250, 0.250, 0.250], [0.750, 0.750, 0.750], [0.000, 0.000, 0.000], [0.500, 0.500, 0.500]], "total_magnetization_mub_per_atom": 0.750}


Which structure is the most stable? The one labeled version A.


Version A
{"formula": "HfRe2Cl", "functional": "PBE", "state": "relaxed", "cell": [[-3.668, 3.668, 2.538], [3.668, -3.668, 2.538], [3.668, 3.668, -2.538]], "species": ["Hf", "Hf", "Re", "Re", "Re", "Re", "Cl", "Cl"], "frac_coords": [[0.000, 0.000, 0.000], [0.750, 0.250, 0.500], [0.202, 0.625, 0.077], [0.375, 0.452, 0.577], [0.548, 0.125, 0.923], [0.875, 0.798, 0.423], [0.250, 0.750, 0.500], [0.500, 0.500, 0.000]], "total_magnetization_mub_per_atom": 0.000}


Version B
{"formula": "HfRe2Cl", "functional": "PBE", "state": "relaxed", "cell": [[0.000, 3.234, 3.234], [3.234, 0.000, 3.234], [3.234, 3.234, 0.000]], "species": ["Hf", "Re", "Re", "Cl"], "frac_coords": [[0.000, 0.000, 0.000], [0.250, 0.250, 0.250], [0.750, 0.750, 0.750], [0.500, 0.500, 0.500]], "total_magnetization_mub_per_atom": 0.000}


Which structure is the most stable? The one labeled version A.


Version A
{"formula": "HfRe3Cl", "functional": "PBE", "state": "relaxed", "cell": [[4.947, 0.000, 0.000], [0.000, 4.947, 0.000], [0.000, 0.000, 4.947]], "species": ["Hf", "Re", "Re", "Re", "Cl"], "frac_coords": [[0.000, 0.000, 0.000], [0.000, 0.000, 0.500], [0.000, 0.500, 0.000], [0.500, 0.000, 0.000], [0.500, 0.500, 0.500]], "total_magnetization_mub_per_atom": 1.097}


Version B
{"formula": "HfRe3Cl", "functional": "PBE", "state": "relaxed", "cell": [[4.391, 0.000, 0.000], [0.000, 4.391, 0.000], [0.000, 0.000, 4.391]], "species": ["Hf", "Re", "Re", "Re", "Cl"], "frac_coords": [[0.000, 0.000, 0.000], [0.000, 0.500, 0.500], [0.500, 0.000, 0.500], [0.500, 0.500, 0.000], [0.500, 0.500, 0.500]], "total_magnetization_mub_per_atom": 0.000}


Which structure is the most stable? The one labeled version B.


Version A
{"formula": "Hf3ReCl", "functional": "PBE", "state": "relaxed", "cell": [[5.111, 0.000, 0.000], [0.000, 5.111, 0.000], [0.000, 0.000, 5.111]], "species": ["Hf", "Hf", "Hf", "Re", "Cl"], "frac_coords": [[0.000, 0.000, 0.500], [0.000, 0.500, 0.000], [0.500, 0.000, 0.000], [0.000, 0.000, 0.000], [0.500, 0.500, 0.500]], "total_magnetization_mub_per_atom": 0.000}


Version B
{"formula": "Hf3ReCl", "functional": "PBE", "state": "relaxed", "cell": [[4.632, 0.000, 0.000], [0.000, 4.632, 0.000], [0.000, 0.000, 4.632]], "species": ["Hf", "Hf", "Hf", "Re", "Cl"], "frac_coords": [[0.000, 0.000, 0.500], [0.000, 0.500, 0.000], [0.500, 0.000, 0.000], [0.500, 0.500, 0.500], [0.000, 0.000, 0.000]], "total_magnetization_mub_per_atom": 0.076}


Which structure is the most stable? The one labeled version B.


Version A
{"formula": "HfReS2Cl", "functional": "PBE", "state": "relaxed", "cell": [[4.612, 0.000, 0.000], [0.000, 4.612, 0.000], [0.000, 0.000, 4.700]], "species": ["Hf", "Re", "S", "S", "Cl"], "frac_coords": [[0.000, 0.000, 0.000], [0.500, 0.500, 0.500], [0.000, 0.500, 0.500], [0.500, 0.000, 0.500], [0.500, 0.500, 0.000]], "total_magnetization_mub_per_atom": 0.000}


Version B
{"formula": "HfReS2Cl", "functional": "PBE", "state": "relaxed", "cell": [[4.974, 0.000, 0.000], [0.000, 4.974, 0.000], [0.000, 0.000, 4.980]], "species": ["Hf", "Re", "S", "S", "Cl"], "frac_coords": [[0.000, 0.000, 0.000], [0.500, 0.500, 0.500], [0.000, 0.500, 0.000], [0.500, 0.000, 0.000], [0.000, 0.000, 0.500]], "total_magnetization_mub_per_atom": 1.178}


Which structure is the most stable? The one labeled version B.


Version A
{"formula": "HfReSCl2", "functional": "PBE", "state": "relaxed", "cell": [[5.018, 0.000, 0.000], [0.000, 5.018, 0.000], [0.000, 0.000, 4.947]], "species": ["Hf", "Re", "S", "Cl", "Cl"], "frac_coords": [[0.000, 0.000, 0.000], [0.500, 0.500, 0.500], [0.000, 0.000, 0.500], [0.000, 0.500, 0.000], [0.500, 0.000, 0.000]], "total_magnetization_mub_per_atom": 1.088}


Version B
{"formula": "HfReSCl2", "functional": "PBE", "state": "relaxed", "cell": [[4.776, 0.000, 0.000], [0.000, 4.776, 0.000], [0.000, 0.000, 4.557]], "species": ["Hf", "Re", "S", "Cl", "Cl"], "frac_coords": [[0.000, 0.000, 0.000], [0.500, 0.500, 0.500], [0.500, 0.500, 0.000], [0.000, 0.500, 0.500], [0.500, 0.000, 0.500]], "total_magnetization_mub_per_atom": 0.006}


Which structure is the most stable? The one labeled version A.